(1)
A geometry-optimized Ce2ThHg4 structure, computed with GGA-PBE.

a b c (Å): 9.3269 9.3269 9.3269
angles (deg): 32.88 32.88 32.88
Last column: nearest neighbours and their distance in Å.
Fractional coordinates of all 7 atoms:
1 Ce 0.2471 0.2471 0.2471  8 Hg 3.18-3.48
2 Ce 0.7529 0.7529 0.7529  8 Hg 3.18-3.48
3 Th 0.0000 0.0000 0.0000  8 Hg 3.27-3.35
4 Hg 0.1269 0.1269 0.1269  4 Ce 3.18-3.23, 1 Th 3.35
5 Hg 0.3786 0.3786 0.3786  4 Ce 3.23-3.48, 3 Th 3.27
6 Hg 0.6214 0.6214 0.6214  4 Ce 3.23-3.48, 3 Th 3.27
7 Hg 0.8731 0.8731 0.8731  4 Ce 3.18-3.23, 1 Th 3.35

The energy above the most stable polymorph in this dataset comes out at 0.0 kJ per mole of atoms.


(2)
A geometry-optimized Ce5ThHg6 structure, computed with GGA-PBE.

a b c (Å): 9.3478 9.3478 5.3959
angles (deg): 106.50 106.50 48.74
Last column: nearest neighbours and their distance in Å.
Fractional coordinates of all 12 atoms:
1 Ce 0.0000 0.0000 0.0000  8 Hg 3.31-3.32
2 Ce 0.1670 0.1670 0.6664  8 Hg 3.31
3 Ce 0.3349 0.3349 0.3353  8 Hg 3.31-3.32
4 Ce 0.6651 0.6651 0.6647  8 Hg 3.31-3.32
5 Ce 0.8330 0.8330 0.3336  8 Hg 3.31
6 Th 0.5000 0.5000 0.0000  8 Hg 3.33
7 Hg 0.0816 0.5836 0.8331  7 Ce 3.31-3.32, 1 Th 3.33
8 Hg 0.2478 0.7522 0.5000  6 Ce 3.31, 2 Th 3.33
9 Hg 0.4164 0.9184 0.1669  7 Ce 3.31-3.32, 1 Th 3.33
10 Hg 0.5836 0.0816 0.8331  7 Ce 3.31-3.32, 1 Th 3.33
11 Hg 0.7522 0.2478 0.5000  6 Ce 3.31, 2 Th 3.33
12 Hg 0.9184 0.4164 0.1669  7 Ce 3.31-3.32, 1 Th 3.33


(3)
A geometry-optimized Ce2ThHg6 structure, computed with GGA-PBE.

a b c (Å): 8.8179 8.8179 3.3953
angles (deg): 90.00 90.00 120.00
Last column: nearest neighbours and their distance in Å.
Fractional coordinates of all 9 atoms:
1 Ce 0.3333 0.6667 0.0000  12 Hg 3.39, 2 Ce 3.40
2 Ce 0.6667 0.3333 0.0000  12 Hg 3.39, 2 Ce 3.40
3 Th 0.0000 0.0000 0.0000  2 Th 3.40, 12 Hg 3.40
4 Hg 0.0000 0.3340 0.5000  3 Hg 2.93-2.95
5 Hg 0.0000 0.6660 0.5000  3 Hg 2.93-2.95
6 Hg 0.3340 0.0000 0.5000  3 Hg 2.93-2.95
7 Hg 0.3340 0.3340 0.5000  3 Hg 2.93-2.95
8 Hg 0.6660 0.0000 0.5000  3 Hg 2.93-2.95
9 Hg 0.6660 0.6660 0.5000  3 Hg 2.93-2.95

The energy above the most stable polymorph in this dataset comes out at 0.0 kJ per mole of atoms.


(4)
A geometry-optimized CeThHg2 structure, computed with GGA-PBE.

a b c (Å): 3.7926 3.7926 7.8079
angles (deg): 90.00 90.00 90.00
Last column: nearest neighbours and their distance in Å.
Fractional coordinates of all 4 atoms:
1 Ce 0.0000 0.0000 0.0000  8 Hg 3.31
2 Th 0.0000 0.0000 0.5000  8 Hg 3.33
3 Hg 0.5000 0.5000 0.2482  4 Ce 3.31, 4 Th 3.33
4 Hg 0.5000 0.5000 0.7518  4 Ce 3.31, 4 Th 3.33

The energy above the most stable polymorph in this dataset comes out at 2.0 kJ per mole of atoms.


(5)
A geometry-optimized Ce2ThHg3 structure, computed with GGA-PBE.

a b c (Å): 3.4297 3.4297 13.7119
angles (deg): 90.00 90.00 90.00
Last column: nearest neighbours and their distance in Å.
Fractional coordinates of all 6 atoms:
1 Ce 0.0000 0.0000 0.1661  8 Hg 3.31-3.33, 4 Ce 3.43
2 Ce 0.0000 0.0000 0.8339  8 Hg 3.31-3.33, 4 Ce 3.43
3 Th 0.0000 0.0000 0.5000  8 Hg 3.36, 4 Th 3.43
4 Hg 0.5000 0.5000 0.0000  8 Ce 3.33, 4 Hg 3.43
5 Hg 0.5000 0.5000 0.3305  4 Ce 3.31, 4 Th 3.36, 4 Hg 3.43
6 Hg 0.5000 0.5000 0.6695  4 Ce 3.31, 4 Th 3.36, 4 Hg 3.43


(6)
A geometry-optimized CeThHg5 structure, computed with GGA-PBE.

a b c (Å): 5.2295 5.2295 7.2216
angles (deg): 90.00 90.00 90.00
Last column: nearest neighbours and their distance in Å.
Fractional coordinates of all 7 atoms:
1 Ce 0.0000 0.0000 0.0000  8 Hg 3.22
2 Th 0.5000 0.5000 0.5000  8 Hg 3.13
3 Hg 0.0000 0.5000 0.2613  2 Th 3.13, 3 Hg 3.22-3.45, 2 Ce 3.22
4 Hg 0.0000 0.5000 0.7387  2 Th 3.13, 3 Hg 3.22-3.45, 2 Ce 3.22
5 Hg 0.5000 0.0000 0.2613  2 Th 3.13, 3 Hg 3.22-3.45, 2 Ce 3.22
6 Hg 0.5000 0.0000 0.7387  2 Th 3.13, 3 Hg 3.22-3.45, 2 Ce 3.22
7 Hg 0.5000 0.5000 0.0000  8 Hg 3.22, 2 Th 3.61


(7)
A geometry-optimized CeTh4Hg5 structure, computed with GGA-PBE.

a b c (Å): 3.7888 3.7888 19.5842
angles (deg): 90.00 90.00 90.00
Last column: nearest neighbours and their distance in Å.
Fractional coordinates of all 10 atoms:
1 Ce 0.0000 0.0000 0.0000  8 Hg 3.30
2 Th 0.0000 0.0000 0.2004  8 Hg 3.31-3.34
3 Th 0.0000 0.0000 0.4000  8 Hg 3.32-3.33
4 Th 0.0000 0.0000 0.6000  8 Hg 3.32-3.33
5 Th 0.0000 0.0000 0.7996  8 Hg 3.31-3.34
6 Hg 0.5000 0.5000 0.0984  4 Ce 3.30, 4 Th 3.34
7 Hg 0.5000 0.5000 0.2993  8 Th 3.31-3.33
8 Hg 0.5000 0.5000 0.5000  8 Th 3.32
9 Hg 0.5000 0.5000 0.7007  8 Th 3.31-3.33
10 Hg 0.5000 0.5000 0.9016  4 Ce 3.30, 4 Th 3.34


(8)
A geometry-optimized CeTh2Hg structure, computed with GGA-PBE.

a b c (Å): 6.4372 6.4372 5.9096
angles (deg): 115.00 115.00 31.95
Last column: nearest neighbours and their distance in Å.
Fractional coordinates of all 4 atoms:
1 Ce 0.0000 0.0000 0.0000  2 Hg 3.23, 7 Th 3.44-3.49, 2 Ce 3.54
2 Th 0.2375 0.2375 0.8409  4 Hg 3.28-3.62, 3 Ce 3.45-3.46, 5 Th 3.54-3.57
3 Th 0.4673 0.4673 0.4754  3 Hg 3.26-3.56, 4 Ce 3.44-3.49, 5 Th 3.54-3.57
4 Hg 0.7284 0.7284 0.3665  2 Ce 3.23, 5 Th 3.26-3.56, 2 Hg 3.54

The energy above the most stable polymorph in this dataset comes out at 0.0 kJ per mole of atoms.


no.,calculated formation energy (eV/atom),total DFT energy (no corrections) (eV/atom),D(E_F) (states/eV per cell)
1,-0.137,-3.06,18.57
2,-0.268,-3.51,40.79
3,-0.330,-2.67,12.81
4,-0.235,-3.72,9.92
5,-0.276,-3.64,14.38
6,-0.146,-2.27,12.18
7,-0.209,-3.92,15.91
8,-0.084,-5.35,7.29